1.
# DyRuO, relaxed, DFT GGA-PBE
# ρ	9.7	Mg/m³
# formation energy (no corrections)	-1486	meV per atom
# final energy	-7.764	eV per atom
data_DyRuO
_cell_length_a 3.2290
_cell_length_b 3.2290
_cell_length_c 18.2779
_cell_angle_alpha 90.00
_cell_angle_beta 90.00
_cell_angle_gamma 90.00
_symmetry_space_group_name_H-M 'I 4/m m m'
_symmetry_Int_Tables_number 139
_symmetry_space_group_name_Hall '-I 4 2'
loop_
_atom_site_label
_atom_site_type_symbol
_atom_site_fract_x
_atom_site_fract_y
_atom_site_fract_z
Dy1 Dy 0.0000 0.0000 0.1697
Ru1 Ru 0.0000 0.0000 0.4394
O1 O 0.0000 0.0000 0.3032

---

2.
# SrDyRuO6, relaxed, DFT GGA-PBE
# ρ	5.3	Mg/m³
# formation energy (no corrections)	-1961	meV per atom
# final energy	-6.995	eV per atom
data_SrDyRuO6
_cell_length_a 5.5662
_cell_length_b 5.5662
_cell_length_c 10.3906
_cell_angle_alpha 90.00
_cell_angle_beta 90.00
_cell_angle_gamma 120.00
_symmetry_space_group_name_H-M 'P -3 1 c'
_symmetry_Int_Tables_number 163
_symmetry_space_group_name_Hall '-P 3 2c'
loop_
_atom_site_label
_atom_site_type_symbol
_atom_site_fract_x
_atom_site_fract_y
_atom_site_fract_z
Sr1 Sr 0.0000 0.0000 0.0000
Dy1 Dy 0.3333 0.6667 0.2500
Ru1 Ru 0.3333 0.6667 0.7500
O1 O 0.0445 0.3891 0.6453